Entry 1:
12
Lattice="7.531 0.000 0.000 0.000 7.531 0.000 0.000 0.000 7.531" Properties=species:S:1:pos:R:3 comment="YRu, optimized geometry, DFT PBE" e_form_mev_per_atom=1350 pbc="T T T"
Y 0.000 1.883 3.765
Y 0.000 5.648 3.765
Y 1.883 3.765 0.000
Y 3.765 0.000 1.883
Y 3.765 0.000 5.648
Y 5.648 3.765 0.000
Ru 0.000 3.765 1.883
Ru 0.000 3.765 5.648
Ru 1.883 0.000 3.765
Ru 3.765 1.883 0.000
Ru 3.765 5.648 0.000
Ru 5.648 0.000 3.765

***

Entry 2:
14
Lattice="9.375 -1.912 0.000 9.375 1.912 0.000 -4.272 0.000 8.926" Properties=species:S:1:pos:R:3 comment="Mg2Zn2Se3, optimized geometry, DFT PBE" relative_energy_kcal_per_mol_atoms=2.13 e_form_raw_ev_per_atom=-0.67 pbc="T T T"
Mg 1.719 0.000 2.997
Mg 4.939 0.000 1.871
Mg 9.540 0.000 7.055
Mg 12.760 0.000 5.929
Zn -2.052 0.000 5.741
Zn 7.865 0.000 0.082
Zn 6.614 0.000 8.844
Zn 16.531 0.000 3.186
Se -1.151 0.000 8.762
Se 1.387 0.000 5.632
Se 4.975 0.000 6.935
Se 9.504 0.000 1.992
Se 13.092 0.000 3.294
Se 15.630 0.000 0.164

***

Entry 3:
4
Lattice="3.582 0.000 0.000 0.000 3.582 0.000 0.000 0.000 7.039" Properties=species:S:1:pos:R:3 comment="Ho2VZn, optimized geometry, DFT PBE" e_form_mev_per_atom=14 relative_energy_kcal_per_mol_atoms=0.00 pbc="T T T"
Ho 0.000 0.000 1.734
Ho 0.000 0.000 5.305
V 1.791 1.791 0.000
Zn 1.791 1.791 3.519

***

Entry 4:
3
Lattice="4.478 -2.866 0.000 4.478 2.866 0.000 -0.002 0.000 3.285" Properties=species:S:1:pos:R:3 comment="InSnSb, optimized geometry, DFT PBE" relative_energy_kcal_per_mol_atoms=0.93 e_form_raw_ev_per_atom=0.04 pbc="T T T"
In 0.000 0.000 0.000
Sn 6.025 0.000 1.644
Sb 2.924 0.000 1.673

***

Entry 5:
6
Lattice="5.692 0.000 0.000 0.000 4.536 0.000 0.000 0.000 5.187" Properties=species:S:1:pos:R:3 comment="ZrInPd, optimized geometry, DFT PBE" e_form_mev_per_atom=-172 pbc="T T T"
Zr 1.423 0.000 0.191
Zr 4.269 0.000 4.996
In 1.423 2.268 3.414
In 4.269 2.268 1.773
Pd 0.000 0.000 2.594
Pd 2.846 0.000 2.594

***

Entry 6:
8
Lattice="-4.677 4.677 4.677 4.677 -4.677 4.677 4.677 4.677 -4.677" Properties=species:S:1:pos:R:3 comment="SrGa, optimized geometry, DFT PBE" e_form_mev_per_atom=-39 pbc="T T T"
Sr 1.916 1.916 -1.916
Sr 1.916 -1.916 1.916
Sr -1.916 1.916 1.916
Sr 2.761 2.761 2.761
Ga 3.710 3.710 -3.710
Ga 3.710 -3.710 3.710
Ga 0.967 0.967 0.967
Ga -3.710 3.710 3.710

***

Entry 7:
16
Lattice="4.497 2.597 8.382 -4.497 2.597 8.382 0.000 -5.193 8.382" Properties=species:S:1:pos:R:3 comment="Cs4AcCe3Se8, optimized geometry, DFT PBE" e_form_raw_ev_per_atom=-1.70 pbc="T T T"
Cs 0.000 0.000 0.000
Cs -2.249 -1.298 8.382
Cs -2.249 1.298 16.764
Cs 0.000 2.597 8.382
Ac 0.000 0.000 12.573
Ce -4.497 0.000 12.573
Ce -2.249 1.298 4.191
Ce 2.249 1.298 4.191
Se -2.313 -1.335 14.178
Se 0.000 0.000 5.760
Se 0.000 -2.671 10.968
Se -2.313 1.335 10.968
Se 2.313 -1.335 14.178
Se 0.000 2.671 14.178
Se 0.000 0.000 19.387
Se 2.313 1.335 10.968

***

Entry 8:
4
Lattice="2.149 1.241 7.840 -2.149 1.241 7.840 0.000 -2.482 7.840" Properties=species:S:1:pos:R:3 comment="RbLaS2, optimized geometry, DFT PBE" e_form_raw_ev_per_atom=-1.87 pbc="T T T"
Rb 0.000 0.000 0.000
La 0.000 0.000 3.989
S 0.000 0.000 13.373
S 0.000 0.000 18.133

***

Entry 9:
5
Lattice="4.729 0.000 0.000 0.000 4.729 0.000 0.000 0.000 4.729" Properties=species:S:1:pos:R:3 comment="TaNiOs3, optimized geometry, DFT PBE" e_form_mev_per_atom=2483 relative_energy_kcal_per_mol_atoms=22.47 pbc="T T T"
Ta 0.000 0.000 0.000
Ni 2.364 2.364 2.364
Os 0.000 0.000 2.364
Os 0.000 2.364 0.000
Os 2.364 0.000 0.000

***

Entry 10:
6
Lattice="5.245 0.000 0.000 0.000 4.551 0.000 -0.912 0.000 8.371" Properties=species:S:1:pos:R:3 comment="RbTlPt, optimized geometry, DFT PBE" e_form_mev_per_atom=-170 relative_energy_kcal_per_mol_atoms=0.00 pbc="T T T"
Rb 0.873 1.138 2.782
Rb 3.460 3.413 5.590
Tl 0.983 1.138 7.076
Tl 3.350 3.413 1.296
Pt 0.764 3.413 0.088
Pt 3.569 1.138 8.283

***

Entry 11:
4
Lattice="3.780 0.000 0.000 0.000 3.780 0.000 0.000 0.000 8.556" Properties=species:S:1:pos:R:3 comment="Sr2BiPd, optimized geometry, DFT PBE" e_form_mev_per_atom=-649 pbc="T T T"
Sr 0.000 0.000 1.853
Sr 0.000 0.000 6.702
Bi 1.890 1.890 4.278
Pd 1.890 1.890 0.000

***

Entry 12:
11
Lattice="0.000 4.552 8.741 2.687 0.000 8.741 2.687 4.552 0.000" Properties=species:S:1:pos:R:3 comment="Y2Zn5Au4, optimized geometry, DFT PBE" e_form_mev_per_atom=-493 pbc="T T T"
Y 2.687 4.552 2.178
Y 2.687 4.552 15.305
Zn 1.344 2.276 0.000
Zn 1.344 2.276 4.371
Zn 1.344 2.276 8.741
Zn 2.687 4.552 8.741
Zn 4.031 6.828 13.112
Au 2.687 3.088 6.468
Au 2.687 3.088 11.015
Au 2.687 6.016 6.468
Au 2.687 6.016 11.015

***

Entry 13:
5
Lattice="5.169 0.000 0.000 0.000 5.169 0.000 0.000 0.000 4.908" Properties=species:S:1:pos:R:3 comment="CuTeRhAu2, optimized geometry, DFT PBE" e_form_raw_ev_per_atom=0.93 pbc="T T T"
Cu 0.000 0.000 0.000
Te 2.584 2.584 2.454
Rh 2.584 2.584 0.000
Au 0.000 2.584 2.454
Au 2.584 0.000 2.454

***

Entry 14:
80
Lattice="-8.284 8.284 8.284 8.284 -8.284 8.284 8.284 8.284 -8.284" Properties=species:S:1:pos:R:3 comment="Zn3Cd12Sb5, optimized geometry, DFT PBE" e_form_raw_ev_per_atom=0.10 pbc="T T T"
Zn 4.142 2.071 0.000
Zn 8.284 4.142 -2.071
Zn 2.071 0.000 4.142
Zn 10.355 0.000 4.142
Zn 0.000 4.142 2.071
Zn 4.142 -2.071 8.284
Zn 4.142 10.355 0.000
Zn 8.284 4.142 6.213
Zn -2.071 8.284 4.142
Zn 6.213 8.284 4.142
Zn 0.000 4.142 10.355
Zn 4.142 6.213 8.284
Cd 7.873 -1.510 2.475
Cd 12.838 -1.667 2.632
Cd 2.475 -0.412 1.510
Cd 9.951 5.652 -4.554
Cd 10.759 0.412 1.510
Cd 9.951 -2.632 4.554
Cd 1.510 2.475 -0.412
Cd 10.916 3.731 -1.667
Cd 5.652 4.554 -1.667
Cd 6.774 2.475 0.412
Cd -0.412 1.510 2.475
Cd 4.554 -1.667 5.652
Cd 7.873 6.774 -2.475
Cd 4.554 1.667 2.632
Cd 6.774 -2.475 7.873
Cd 5.652 -4.554 9.951
Cd 2.632 4.554 1.667
Cd 9.794 5.809 0.412
Cd 2.475 7.873 -1.510
Cd 9.951 2.632 3.731
Cd 1.667 2.632 4.554
Cd 2.475 0.412 6.774
Cd 4.554 9.951 -2.632
Cd 7.873 1.510 5.809
Cd 0.412 6.774 2.475
Cd 3.731 -1.667 10.916
Cd 5.809 7.873 1.510
Cd 6.617 5.652 3.731
Cd -1.667 5.652 4.554
Cd 5.809 0.412 9.794
Cd -1.510 2.475 7.873
Cd 5.652 3.731 6.617
Cd 2.632 12.838 -1.667
Cd 1.510 10.759 0.412
Cd 3.731 6.617 5.652
Cd 0.412 1.510 10.759
Cd 3.731 9.951 2.632
Cd 8.696 6.774 5.809
Cd 1.510 5.809 7.873
Cd 2.632 3.731 9.951
Cd -2.632 4.554 9.951
Cd 6.774 5.809 8.696
Cd -1.667 10.916 3.731
Cd -2.475 7.873 6.774
Cd -1.667 2.632 12.838
Cd 5.809 8.696 6.774
Cd -4.554 9.951 5.652
Cd 0.412 9.794 5.809
Sb 0.000 0.000 0.000
Sb 4.142 4.142 -4.142
Sb 4.142 -4.142 4.142
Sb 8.284 0.000 0.000
Sb 12.426 2.071 0.000
Sb 8.284 -4.142 6.213
Sb 6.213 8.284 -4.142
Sb 6.213 0.000 4.142
Sb 4.142 6.213 0.000
Sb 8.284 4.142 2.071
Sb -4.142 4.142 4.142
Sb 0.000 8.284 0.000
Sb 0.000 0.000 8.284
Sb 4.142 4.142 4.142
Sb 0.000 4.142 6.213
Sb 4.142 2.071 8.284
Sb 2.071 8.284 4.142
Sb 2.071 0.000 12.426
Sb 0.000 12.426 2.071
Sb -4.142 6.213 8.284

***

Entry 15:
4
Lattice="0.000 3.569 3.569 3.569 0.000 3.569 3.569 3.569 0.000" Properties=species:S:1:pos:R:3 comment="PmGdGeRh, optimized geometry, DFT PBE" e_form_mev_per_atom=-664 pbc="T T T"
Pm 0.000 0.000 0.000
Gd 3.569 3.569 3.569
Ge 5.354 5.354 5.354
Rh 1.785 1.785 1.785

***

Entry 16:
8
Lattice="4.388 0.000 0.000 0.000 4.656 0.000 0.000 0.000 8.820" Properties=species:S:1:pos:R:3 comment="Ce2GeO, optimized geometry, DFT PBE" relative_energy_kcal_per_mol_atoms=0.00 e_form_raw_ev_per_atom=-1.73 pbc="T T T"
Ce 1.097 1.164 0.188
Ce 1.097 3.492 3.108
Ce 3.291 1.164 5.712
Ce 3.291 3.492 8.632
Ge 1.097 3.492 6.231
Ge 3.291 1.164 2.589
O 1.097 3.492 0.801
O 3.291 1.164 8.019

***

Entry 17:
11
Lattice="-2.393 3.696 7.866 2.393 -3.696 7.866 2.393 3.696 -7.866" Properties=species:S:1:pos:R:3 comment="Li4Pr3Pb4, optimized geometry, DFT PBE" e_form_mev_per_atom=-522 relative_energy_kcal_per_mol_atoms=0.00 pbc="T T T"
Li 2.393 -2.304 5.153
Li 0.000 1.392 2.713
Li 2.393 2.304 5.153
Li 0.000 6.000 2.713
Pr 2.393 0.000 0.000
Pr 0.000 0.000 5.846
Pr 0.000 0.000 9.887
Pb 2.393 0.000 3.383
Pb 0.000 2.180 0.000
Pb 0.000 5.212 0.000
Pb 0.000 3.696 4.483

***

Entry 18:
8
Lattice="8.311 -2.913 0.000 8.311 2.913 0.000 -2.204 0.000 5.656" Properties=species:S:1:pos:R:3 comment="Pm3Nd3Dy2, optimized geometry, DFT PBE" e_form_mev_per_atom=75 relative_energy_kcal_per_mol_atoms=1.05 pbc="T T T"
Pm 0.000 0.000 0.000
Pm 0.953 0.000 3.274
Pm 13.465 0.000 2.382
Nd 4.291 0.000 4.579
Nd 7.209 0.000 2.828
Nd 10.127 0.000 1.077
Dy 3.754 0.000 1.030
Dy 10.664 0.000 4.625

***

Entry 19:
7
Lattice="-3.546 3.546 8.837 3.546 -3.546 8.837 3.546 3.546 -8.837" Properties=species:S:1:pos:R:3 comment="Rb4TlHg2, optimized geometry, DFT PBE" e_form_mev_per_atom=-25 pbc="T T T"
Rb 3.546 0.000 0.000
Rb 0.000 0.000 3.704
Rb 0.000 3.546 0.000
Rb 0.000 0.000 13.970
Tl 0.000 0.000 0.000
Hg 0.000 0.000 7.311
Hg 0.000 0.000 10.363

***

Entry 20:
8
Lattice="-4.083 4.083 3.105 4.083 -4.083 3.105 4.083 4.083 -3.105" Properties=species:S:1:pos:R:3 comment="CaTlCr2, optimized geometry, DFT PBE" e_form_mev_per_atom=820 relative_energy_kcal_per_mol_atoms=12.47 pbc="T T T"
Ca 0.000 0.000 0.000
Ca 0.000 4.083 1.553
Tl 4.083 0.000 1.553
Tl 0.000 0.000 3.105
Cr 2.041 -1.760 2.329
Cr 2.323 2.041 0.776
Cr 2.041 5.843 -0.776
Cr 1.760 2.041 3.881

***

Entry 21:
6
Lattice="2.967 0.000 0.000 0.000 2.967 0.000 0.000 0.000 10.672" Properties=species:S:1:pos:R:3 comment="CrReAs, optimized geometry, DFT PBE" e_form_mev_per_atom=64 relative_energy_kcal_per_mol_atoms=0.00 pbc="T T T"
Cr 0.742 0.742 2.324
Cr 2.226 2.226 8.347
Re 0.742 0.742 9.758
Re 2.226 2.226 0.913
As 0.742 0.742 6.822
As 2.226 2.226 3.849